No. 1
Entry from Alexandria via LeMat-Bulk: an optimized crystal structure of Nb3CrBi (GGA-PBEsol).

Density, g/cm³: 8.95
ΔE_f, eV per atom: 0.721
Energy above the most stable polymorph in this dataset, eV per atom: 0.000
Total moment, μB/f.u.: 0.0

```
data_Nb3CrBi
_space_group_name_H-M_alt 'P m -3 m'
_space_group_IT_number 221
_space_group_name_Hall '-P 4 2 3'
_cell_length_a 4.643
_cell_length_b 4.643
_cell_length_c 4.643
_cell_angle_alpha 90.00
_cell_angle_beta 90.00
_cell_angle_gamma 90.00
loop_
_atom_site_label
_atom_site_fract_x
_atom_site_fract_y
_atom_site_fract_z
Nb1 0.000 0.000 0.500
Cr1 0.000 0.000 0.000
Bi1 0.500 0.500 0.500
```

---

No. 2
Entry from Alexandria via LeMat-Bulk: an optimized crystal structure of MnTcIr2 (GGA-PBEsol).

Density, g/cm³: 16.72
ΔE_f, eV per atom: -0.161
Energy above the most stable polymorph in this dataset, eV per atom: 0.003
Total moment, μB/f.u.: 1.4

```
data_MnTcIr2
_space_group_name_H-M_alt 'I 4/m m m'
_space_group_IT_number 139
_space_group_name_Hall '-I 4 2'
_cell_length_a 3.776
_cell_length_b 3.776
_cell_length_c 7.487
_cell_angle_alpha 90.00
_cell_angle_beta 90.00
_cell_angle_gamma 90.00
loop_
_atom_site_label
_atom_site_fract_x
_atom_site_fract_y
_atom_site_fract_z
Mn1 0.000 0.000 0.000
Tc1 0.000 0.000 0.500
Ir1 0.000 0.500 0.250
```

---

No. 3
Entry from Alexandria via LeMat-Bulk: an optimized crystal structure of AlRuPb2 (GGA-PBEsol).

Density, g/cm³: 11.11
ΔE_f, eV per atom: 0.560
Total moment, μB/f.u.: 0.0

```
data_AlRuPb2
_space_group_name_H-M_alt 'P 4/m m m'
_space_group_IT_number 123
_space_group_name_Hall '-P 4 2'
_cell_length_a 4.809
_cell_length_b 4.809
_cell_length_c 3.506
_cell_angle_alpha 90.00
_cell_angle_beta 90.00
_cell_angle_gamma 90.00
loop_
_atom_site_label
_atom_site_fract_x
_atom_site_fract_y
_atom_site_fract_z
Al1 0.000 0.000 0.000
Ru1 0.500 0.500 0.000
Pb1 0.000 0.500 0.500
```

---

No. 4
Entry from Alexandria via LeMat-Bulk: an optimized crystal structure of PaInO4 (GGA-PBEsol).

Density, g/cm³: 9.21
ΔE_f (raw), meV per atom: -2728.1
Total moment, μB/f.u.: 0.0

```
data_PaInO4
_space_group_name_H-M_alt 'I 41/a m d'
_space_group_IT_number 141
_cell_length_a 5.270
_cell_length_b 5.270
_cell_length_c 10.639
_cell_angle_alpha 90.00
_cell_angle_beta 90.00
_cell_angle_gamma 90.00
loop_
_space_group_symop_operation_xyz
'x,y,z'
'-x,-y,-z'
'-y+1/4,x+3/4,z+1/4'
'y+1/4,-x+3/4,-z+1/4'
'-x+1/2,-y,z+1/2'
'x+1/2,y,-z+1/2'
'y+1/4,-x+1/4,z+3/4'
'-y+1/4,x+1/4,-z+3/4'
'x,-y,-z'
'-x,y,z'
'-y+1/4,-x+1/4,-z+3/4'
'y+1/4,x+1/4,z+3/4'
'-x+1/2,y,-z+1/2'
'x+1/2,-y,z+1/2'
'y+1/4,x+3/4,-z+1/4'
'-y+1/4,-x+3/4,z+1/4'
'x+1/2,y+1/2,z+1/2'
'-x+1/2,-y+1/2,-z+1/2'
'-y+3/4,x+1/4,z+3/4'
'y+3/4,-x+1/4,-z+3/4'
'-x,-y+1/2,z'
'x,y+1/2,-z'
'y+3/4,-x+3/4,z+1/4'
'-y+3/4,x+3/4,-z+1/4'
'x+1/2,-y+1/2,-z+1/2'
'-x+1/2,y+1/2,z+1/2'
'-y+3/4,-x+3/4,-z+1/4'
'y+3/4,x+3/4,z+1/4'
'-x,y+1/2,-z'
'x,-y+1/2,z'
'y+3/4,x+1/4,-z+3/4'
'-y+3/4,-x+1/4,z+3/4'
loop_
_atom_site_label
_atom_site_fract_x
_atom_site_fract_y
_atom_site_fract_z
Pa1 0.000 0.250 0.375
In1 0.000 0.250 0.875
O1 0.246 0.000 0.500
```

---

| no. | E_tot (eV/atom) |
| --- | --- |
| 1 | -8.678 |
| 2 | -10.329 |
| 3 | -5.005 |
| 4 | -8.430 |